Material: LiSb2F7
Method: DFT, GGA-PBEsol
State: relaxed

Results
SG ... Pnma (62)
Formation energy (no corrections) ... -24.912 eV/f.u.
Raw total energy ... -4.949 eV/atom
M_tot ... 0.000 μB/cell

a = 8.460 Å, b = 14.297 Å, c = 4.828 Å
α = 90.00°, β = 90.00°, γ = 90.00°
Fractional coordinates of all 40 atoms:
1 Li 0.071 0.250 0.131
2 Li 0.429 0.750 0.631
3 Li 0.571 0.250 0.369
4 Li 0.929 0.750 0.869
5 Sb 0.111 0.599 0.303
6 Sb 0.111 0.901 0.303
7 Sb 0.389 0.099 0.803
8 Sb 0.389 0.401 0.803
9 Sb 0.611 0.599 0.197
10 Sb 0.611 0.901 0.197
11 Sb 0.889 0.099 0.697
12 Sb 0.889 0.401 0.697
13 F 0.011 0.656 0.627
14 F 0.011 0.844 0.627
15 F 0.094 0.750 0.151
16 F 0.154 0.005 0.587
17 F 0.154 0.495 0.587
18 F 0.187 0.150 0.940
19 F 0.187 0.350 0.940
20 F 0.313 0.650 0.440
21 F 0.313 0.850 0.440
22 F 0.346 0.505 0.087
23 F 0.346 0.995 0.087
24 F 0.406 0.250 0.651
25 F 0.489 0.156 0.127
26 F 0.489 0.344 0.127
27 F 0.511 0.656 0.873
28 F 0.511 0.844 0.873
29 F 0.594 0.750 0.349
30 F 0.654 0.005 0.913
31 F 0.654 0.495 0.913
32 F 0.687 0.150 0.560
33 F 0.687 0.350 0.560
34 F 0.813 0.650 0.060
35 F 0.813 0.850 0.060
36 F 0.846 0.505 0.413
37 F 0.846 0.995 0.413
38 F 0.906 0.250 0.849
39 F 0.989 0.156 0.373
40 F 0.989 0.344 0.373